(1)
A PBEsol-optimized structure of K3NdP2S8, computed with meta-GGA SCAN.

**Space-group type**: P2_1/c
**Uncorrected formation energy**: -17.585 eV per formula unit
**Total magnetic moment**: 0.0 μB per formula unit

a = 8.976 Å, b = 9.476 Å, c = 16.849 Å
α = 90.00°, β = 90.00°, γ = 90.43°
Fractional coordinates of all 56 atoms:
S 0.878 0.863 0.678
S 0.571 0.425 0.124
S 0.781 0.224 0.385
S 0.052 0.247 0.517
S 0.332 0.410 0.658
S 0.878 0.363 0.822
S 0.052 0.747 0.983
S 0.122 0.137 0.322
S 0.964 0.532 0.624
S 0.036 0.468 0.376
S 0.429 0.075 0.624
S 0.540 0.178 0.978
S 0.689 0.825 0.871
S 0.460 0.322 0.478
S 0.332 0.910 0.842
S 0.948 0.253 0.017
S 0.668 0.090 0.158
S 0.460 0.822 0.022
S 0.219 0.276 0.885
S 0.964 0.032 0.876
S 0.668 0.590 0.342
S 0.311 0.675 0.371
S 0.948 0.753 0.483
S 0.219 0.776 0.615
S 0.036 0.968 0.124
S 0.540 0.678 0.522
S 0.689 0.325 0.629
S 0.311 0.175 0.129
S 0.781 0.724 0.115
S 0.122 0.637 0.178
S 0.571 0.925 0.376
S 0.429 0.575 0.876
P 0.004 0.256 0.398
P 0.473 0.779 0.902
P 0.996 0.244 0.898
P 0.527 0.221 0.098
P 0.527 0.721 0.402
P 0.004 0.756 0.102
P 0.996 0.744 0.602
P 0.473 0.279 0.598
K 0.734 0.015 0.532
K 0.384 0.375 0.287
K 0.881 0.869 0.294
K 0.616 0.625 0.713
K 0.266 0.485 0.032
K 0.616 0.125 0.787
K 0.119 0.631 0.794
K 0.734 0.515 0.968
K 0.119 0.131 0.706
K 0.881 0.369 0.206
K 0.266 0.985 0.468
K 0.384 0.875 0.213
Nd 0.226 0.029 0.987
Nd 0.226 0.529 0.513
Nd 0.774 0.971 0.013
Nd 0.774 0.471 0.487

=====

(2)
A PBEsol-optimized structure of CrMoIO2, computed with meta-GGA SCAN.

**Space-group type**: P4/mmm
**Uncorrected formation energy**: -1.116 eV per formula unit
**Excess energy over the best structure of this formula in the dataset**: 570.7 meV/atom
**Total magnetic moment**: 6.5 μB per formula unit

a = 3.776 Å, b = 3.776 Å, c = 5.649 Å
α = 90.00°, β = 90.00°, γ = 90.00°
Fractional coordinates of all 5 atoms:
O 0.000 0.500 0.000
O 0.500 0.000 0.000
I 0.000 0.000 0.500
Cr 0.000 0.000 0.000
Mo 0.500 0.500 0.500

=====

(3)
A PBEsol-optimized structure of ZrFeTe2, computed with meta-GGA SCAN.

**Space-group type**: P4mm
**Uncorrected formation energy**: -1.677 eV per formula unit
**Total magnetic moment**: 2.6 μB per formula unit

a = 3.630 Å, b = 3.630 Å, c = 6.835 Å
α = 90.00°, β = 90.00°, γ = 90.00°
Fractional coordinates of all 4 atoms:
Te 0.500 0.500 0.331
Te 0.000 0.000 0.914
Zr 0.000 0.000 0.512
Fe 0.500 0.500 0.744

=====

Which value of total magnetic moment does entry 2 give?
6.5 μB per formula unit

=====

Which formula does entry 1 have?
K3NdP2S8

=====

Which of these has the lowest uncorrected formation energy?
K3NdP2S8

=====

What is the total magnetic moment in the second record?
6.5 μB per formula unit